15
Lattice="-1.966 -3.497 -4.080 -0.248 -1.587 5.492 -6.369 2.928 0.559" Properties=species:S:1:pos:R:3 comment="Ta2Tl3FeO9 PBE with a Hubbard U optimized geometry" e_tot_ev_per_atom=-7.130 vol_a3_per_atom=13.3 pbc="T T T"
O -2.638 -0.942 4.068
O -4.969 0.520 -0.074
O -2.515 -0.154 1.344
O -1.107 -2.542 0.706
O -0.124 -0.793 2.746
O -5.944 -1.214 -2.097
O -6.067 -2.001 0.627
O -0.983 -1.748 -2.040
O -3.613 -2.676 2.044
Tl -5.043 -0.282 2.672
Tl 0.000 0.000 0.000
Tl -3.539 -1.874 -0.701
Fe -3.184 1.464 0.279
Ta -1.938 -1.710 2.399
Ta -6.644 -0.446 -0.428